SrFeO3, relaxed, DFT PBE+U; raw total energy = -0.2235 hartree per atom
1.0
2.685 1.550 5.278
-2.685 1.550 5.278
0.000 -3.100 5.278
Sr Fe O
2 2 6
Cartesian
0.000 0.000 2.028
0.000 0.000 13.805
0.000 0.000 5.322
0.000 0.000 10.511
-1.137 -1.212 6.376
-1.618 0.379 9.457
-0.481 1.590 6.376
0.481 -1.590 9.457
1.618 -0.379 6.376
1.137 1.212 9.457